Record 1
A relaxed structure of TeAsF2, computed with PBE-GGA.

Cell: 9.1242 9.1242 9.1242 Å, 19.90 19.90 19.90°
Last column: nearest neighbours and their distance in Å.
Positions (direct):
F 0.0767 0.0767 0.0767  1 Te 2.06
F 0.9233 0.9233 0.9233  1 Te 2.06
Te 0.0000 0.0000 0.0000  2 F 2.06
As 0.5000 0.5000 0.5000  6 F 3.02, 6 As 3.15

## Properties
Density of states at the Fermi level   2.15 states/eV/cell
Formation energy (no corrections)   -0.76 eV/atom
Offset from the most stable computed form   206 meV/atom
SG   R-3m, No. 166



Record 2
A relaxed structure of Te3AsF, computed with PBE-GGA.

Cell: 5.3464 5.3464 5.3464 Å, 90.00 90.00 90.00°
Last column: nearest neighbours and their distance in Å.
Positions (direct):
As 0.0000 0.0000 0.0000  6 Te 2.67
Te 0.0000 0.0000 0.5000  2 As 2.67
Te 0.0000 0.5000 0.0000  2 As 2.67
Te 0.5000 0.0000 0.0000  2 As 2.67
F 0.5000 0.5000 0.5000  12 Te 3.78

## Properties
Density of states at the Fermi level   6.87 states/eV/cell
Formation energy (no corrections)   0.37 eV/atom
Offset from the most stable computed form   27 meV/atom
SG   Pm-3m, No. 221